(1)
The following is a PBEsol calculation of a relaxed structure of Li5NbO5, from Alexandria via LeMat-Bulk.

a = 5.4084 Å, b = 5.4084 Å, c = 8.9678 Å
α = 97.52°, β = 97.52°, γ = 116.79°
Last column: nearest neighbours and their distance in Å.
Fractional positions:
Li1 0.0449 0.2733 0.5436  4 O 1.95-2.12
Li2 0.1676 0.8324 0.7500  5 O 1.98-2.07
Li3 0.2008 0.5487 0.9393  4 O 1.91-2.06
Li4 0.2733 0.0449 0.0436  4 O 1.95-2.12
Li5 0.4513 0.7992 0.5607  4 O 1.91-2.06
Li6 0.5487 0.2008 0.4393  4 O 1.91-2.06
Li7 0.7267 0.9551 0.9564  4 O 1.95-2.12
Li8 0.7992 0.4513 0.0607  4 O 1.91-2.06
Li9 0.8324 0.1676 0.2500  5 O 1.98-2.07
Li10 0.9551 0.7267 0.4564  4 O 1.95-2.12
Nb1 0.4133 0.5867 0.2500  5 O 1.88-2.02
Nb2 0.5867 0.4133 0.7500  5 O 1.88-2.02
O1 0.0722 0.2970 0.0865  5 Li 1.98-2.12, 1 Nb 2.02
O2 0.1707 0.5097 0.3944  4 Li 1.91-2.07, 1 Nb 1.91
O3 0.2970 0.0722 0.5865  5 Li 1.98-2.12, 1 Nb 2.02
O4 0.3829 0.6171 0.7500  1 Nb 1.88, 3 Li 1.98-2.06
O5 0.4903 0.8293 0.1056  4 Li 1.91-2.07, 1 Nb 1.91
O6 0.5097 0.1707 0.8944  4 Li 1.91-2.07, 1 Nb 1.91
O7 0.6171 0.3829 0.2500  1 Nb 1.88, 3 Li 1.98-2.06
O8 0.7030 0.9278 0.4135  5 Li 1.98-2.12, 1 Nb 2.02
O9 0.8293 0.4903 0.6056  4 Li 1.91-2.07, 1 Nb 1.91
O10 0.9278 0.7030 0.9135  5 Li 1.98-2.12, 1 Nb 2.02

Computed properties:
mass density: 3041 kg/m3
Fermi-level density of states: 0.000 states/eV/atom
formation energy (no corrections): -2.225 eV per atom
symmetry: C2/c

---

(2)
The following is a PBEsol calculation of a relaxed structure of CaIn2Rh2, from Alexandria via LeMat-Bulk.

a = 7.8082 Å, b = 7.8082 Å, c = 3.0430 Å
α = 90.00°, β = 90.00°, γ = 90.00°
Last column: nearest neighbours and their distance in Å.
Fractional positions:
Ca1 0.0000 0.0000 0.0000  2 Ca 3.04, 4 In 3.06, 8 Rh 3.29
Ca2 0.5000 0.5000 0.0000  2 Ca 3.04, 4 In 3.06, 8 Rh 3.29
In1 0.1314 0.3686 0.0000  6 Rh 2.70-2.79, 1 In 2.90
In2 0.3686 0.8686 0.0000  6 Rh 2.70-2.79, 1 In 2.90
In3 0.6314 0.1314 0.0000  6 Rh 2.70-2.79, 1 In 2.90
In4 0.8686 0.6314 0.0000  6 Rh 2.70-2.79, 1 In 2.90
Rh1 0.1662 0.6662 0.5000  6 In 2.70-2.79
Rh2 0.3338 0.1662 0.5000  6 In 2.70-2.79
Rh3 0.6662 0.8338 0.5000  6 In 2.70-2.79
Rh4 0.8338 0.3338 0.5000  6 In 2.70-2.79

Computed properties:
mass density: 8512 kg/m3
Fermi-level density of states: 0.357 states/eV/atom
calculated formation energy: -0.45 eV/atom
symmetry: P4/mbm

---

(3)
The following is a PBEsol calculation of a relaxed structure of GaSe2BrN, from Alexandria via LeMat-Bulk.

a = 4.9255 Å, b = 4.9255 Å, c = 5.1708 Å
α = 90.00°, β = 90.00°, γ = 90.00°
Last column: nearest neighbours and their distance in Å.
Fractional positions:
Ga1 0.0000 0.0000 0.0000  4 Se 2.46, 2 Br 2.59
Se1 0.0000 0.5000 0.0000  2 Ga 2.46
Se2 0.5000 0.0000 0.0000  2 Ga 2.46
Br1 0.0000 0.0000 0.5000  2 Ga 2.59
N1 0.5000 0.5000 0.5000  4 Br 3.48, 8 Se 3.57

Computed properties:
mass density: 4256 kg/m3
Fermi-level density of states: 1.122 states/eV/atom
formation energy (no corrections): 1.214 eV per atom
symmetry: P4/mmm

---

(4)
The following is a PBEsol calculation of a relaxed structure of Ag2AsIr, from Alexandria via LeMat-Bulk.

a = 2.7424 Å, b = 2.7424 Å, c = 8.7257 Å
α = 90.00°, β = 90.00°, γ = 90.00°
Last column: nearest neighbours and their distance in Å.
Fractional positions:
Ag1 0.0000 0.0000 0.2377  4 Ag 2.74, 4 Ir 2.84, 4 As 3.00
Ag2 0.0000 0.0000 0.7623  4 Ag 2.74, 4 Ir 2.84, 4 As 3.00
As1 0.5000 0.5000 0.5000  4 As 2.74, 8 Ag 3.00
Ir1 0.5000 0.5000 0.0000  4 Ir 2.74, 8 Ag 2.84

Computed properties:
mass density: 12219 kg/m3
Fermi-level density of states: 0.949 states/eV/atom
calculated formation energy: 0.40 eV/atom
symmetry: P4/mmm

---

(5)
The following is a PBEsol calculation of a relaxed structure of YTa2Cd, from Alexandria via LeMat-Bulk.

a = 5.9264 Å, b = 5.9264 Å, c = 5.9264 Å
α = 147.27°, β = 132.62°, γ = 58.77°
Last column: nearest neighbours and their distance in Å.
Fractional positions:
Y1 0.0000 0.0000 0.0000  4 Cd 2.91, 4 Ta 3.18
Ta1 0.2624 0.7624 0.5000  4 Ta 2.92, 2 Cd 2.97, 2 Y 3.18
Ta2 0.7376 0.2376 0.5000  4 Ta 2.92, 2 Cd 2.97, 2 Y 3.18
Cd1 0.5000 0.5000 0.0000  4 Y 2.91, 4 Ta 2.97

Computed properties:
mass density: 11390 kg/m3
Fermi-level density of states: 0.872 states/eV/atom
calculated formation energy: 0.33 eV/atom
symmetry: Immm

---

(6)
The following is a PBEsol calculation of a relaxed structure of AlInP, from Alexandria via LeMat-Bulk.

a = 6.1803 Å, b = 6.1803 Å, c = 6.1803 Å
α = 148.03°, β = 148.03°, γ = 45.85°
Last column: nearest neighbours and their distance in Å.
Fractional positions:
Al1 0.0000 0.0000 0.0000  4 P 2.44
In1 0.7577 0.7577 0.0000  1 P 2.55, 1 Al 2.76
P1 0.5333 0.5333 0.0000  4 Al 2.44, 1 In 2.55

Computed properties:
mass density: 4349 kg/m3
Fermi-level density of states: 0.403 states/eV/atom
calculated formation energy: 0.00 eV/atom
symmetry: I4mm

---

(7)
The following is a PBEsol calculation of a relaxed structure of FeTe4Pb, from Alexandria via LeMat-Bulk.

a = 6.2484 Å, b = 6.2484 Å, c = 6.2484 Å
α = 60.00°, β = 60.00°, γ = 60.00°
Last column: nearest neighbours and their distance in Å.
Fractional positions:
Fe1 0.0000 0.0000 0.0000  12 Te 3.66, 4 Pb 3.83
Te1 0.3744 0.3744 0.3744  6 Te 3.11-3.14
Te2 0.3744 0.3744 0.8767  6 Te 3.11-3.14
Te3 0.3744 0.8767 0.3744  6 Te 3.11-3.14
Te4 0.8767 0.3744 0.3744  6 Te 3.11-3.14
Pb1 0.7500 0.7500 0.7500  12 Te 3.66, 4 Fe 3.83

Computed properties:
mass density: 7445 kg/m3
Fermi-level density of states: 1.476 states/eV/atom
formation energy (no corrections): 0.803 eV per atom
symmetry: F-43m

---

(8)
The following is a PBEsol calculation of a relaxed structure of CsIn2Ag2, from Alexandria via LeMat-Bulk.

a = 6.5150 Å, b = 6.5150 Å, c = 6.5150 Å
α = 133.78°, β = 133.78°, γ = 67.43°
Last column: nearest neighbours and their distance in Å.
Fractional positions:
Cs1 0.0000 0.0000 0.0000  8 Ag 3.73, 10 In 3.86-3.94
In1 0.3559 0.3559 0.0000  4 Ag 2.80, 1 In 3.12
In2 0.6441 0.6441 0.0000  4 Ag 2.80, 1 In 3.12
Ag1 0.2500 0.7500 0.5000  4 In 2.80
Ag2 0.7500 0.2500 0.5000  4 In 2.80

Computed properties:
mass density: 6775 kg/m3
Fermi-level density of states: 0.387 states/eV/atom
calculated formation energy: 0.00 eV/atom
symmetry: I4/mmm

---

The highest Fermi-level density of states belongs to which entry? FeTe4Pb

---

Repeat the sixth record exactly.
The following is a PBEsol calculation of a relaxed structure of AlInP, from Alexandria via LeMat-Bulk.

a = 6.1803 Å, b = 6.1803 Å, c = 6.1803 Å
α = 148.03°, β = 148.03°, γ = 45.85°
Last column: nearest neighbours and their distance in Å.
Fractional positions:
Al1 0.0000 0.0000 0.0000  4 P 2.44
In1 0.7577 0.7577 0.0000  1 P 2.55, 1 Al 2.76
P1 0.5333 0.5333 0.0000  4 Al 2.44, 1 In 2.55

Computed properties:
mass density: 4349 kg/m3
Fermi-level density of states: 0.403 states/eV/atom
calculated formation energy: 0.00 eV/atom
symmetry: I4mm

---

Repeat the first record exactly.
The following is a PBEsol calculation of a relaxed structure of Li5NbO5, from Alexandria via LeMat-Bulk.

a = 5.4084 Å, b = 5.4084 Å, c = 8.9678 Å
α = 97.52°, β = 97.52°, γ = 116.79°
Last column: nearest neighbours and their distance in Å.
Fractional positions:
Li1 0.0449 0.2733 0.5436  4 O 1.95-2.12
Li2 0.1676 0.8324 0.7500  5 O 1.98-2.07
Li3 0.2008 0.5487 0.9393  4 O 1.91-2.06
Li4 0.2733 0.0449 0.0436  4 O 1.95-2.12
Li5 0.4513 0.7992 0.5607  4 O 1.91-2.06
Li6 0.5487 0.2008 0.4393  4 O 1.91-2.06
Li7 0.7267 0.9551 0.9564  4 O 1.95-2.12
Li8 0.7992 0.4513 0.0607  4 O 1.91-2.06
Li9 0.8324 0.1676 0.2500  5 O 1.98-2.07
Li10 0.9551 0.7267 0.4564  4 O 1.95-2.12
Nb1 0.4133 0.5867 0.2500  5 O 1.88-2.02
Nb2 0.5867 0.4133 0.7500  5 O 1.88-2.02
O1 0.0722 0.2970 0.0865  5 Li 1.98-2.12, 1 Nb 2.02
O2 0.1707 0.5097 0.3944  4 Li 1.91-2.07, 1 Nb 1.91
O3 0.2970 0.0722 0.5865  5 Li 1.98-2.12, 1 Nb 2.02
O4 0.3829 0.6171 0.7500  1 Nb 1.88, 3 Li 1.98-2.06
O5 0.4903 0.8293 0.1056  4 Li 1.91-2.07, 1 Nb 1.91
O6 0.5097 0.1707 0.8944  4 Li 1.91-2.07, 1 Nb 1.91
O7 0.6171 0.3829 0.2500  1 Nb 1.88, 3 Li 1.98-2.06
O8 0.7030 0.9278 0.4135  5 Li 1.98-2.12, 1 Nb 2.02
O9 0.8293 0.4903 0.6056  4 Li 1.91-2.07, 1 Nb 1.91
O10 0.9278 0.7030 0.9135  5 Li 1.98-2.12, 1 Nb 2.02

Computed properties:
mass density: 3041 kg/m3
Fermi-level density of states: 0.000 states/eV/atom
formation energy (no corrections): -2.225 eV per atom
symmetry: C2/c

---

Among the records above, which one has the lowest Fermi-level density of states? Li5NbO5